(1)
# YCd4 (PBE, relaxed)
data_YCd4
_symmetry_space_group_name_H-M 'P m -3 m'
_symmetry_Int_Tables_number 221
_symmetry_space_group_name_Hall '-P 4 2 3'
_cell_length_a 6.008
_cell_length_b 6.008
_cell_length_c 6.008
_cell_angle_alpha 90.00
_cell_angle_beta 90.00
_cell_angle_gamma 90.00
loop_
_atom_site_label
_atom_site_fract_x
_atom_site_fract_y
_atom_site_fract_z
Y1 0.000 0.000 0.000
Cd1 0.000 0.000 0.500
Cd2 0.500 0.500 0.500
# volume = 43.37 Å³ per atom
# offset from the most stable computed form = 889.3 meV/atom
# electronic total energy = -6.811 eV per cell
# crystal system = cubic

***

(2)
# Tb3ErH8 (PBE, relaxed)
data_Tb3ErH8
_symmetry_space_group_name_H-M 'P m -3 m'
_symmetry_Int_Tables_number 221
_symmetry_space_group_name_Hall '-P 4 2 3'
_cell_length_a 5.189
_cell_length_b 5.189
_cell_length_c 5.189
_cell_angle_alpha 90.00
_cell_angle_beta 90.00
_cell_angle_gamma 90.00
loop_
_atom_site_label
_atom_site_fract_x
_atom_site_fract_y
_atom_site_fract_z
Tb1 0.000 0.000 0.500
Er1 0.500 0.500 0.500
H1 0.253 0.253 0.253
# volume = 11.65 Å³ per atom
# electronic total energy = -53.872 eV per cell
# crystal system = cubic

***

(3)
# Hf6MgCd (PBE, relaxed)
data_Hf6MgCd
_symmetry_space_group_name_H-M 'A m m 2'
_symmetry_Int_Tables_number 38
_cell_length_a 5.001
_cell_length_b 6.539
_cell_length_c 10.789
_cell_angle_alpha 90.00
_cell_angle_beta 90.00
_cell_angle_gamma 90.00
loop_
_symmetry_equiv_pos_as_xyz
'x,y,z'
'-x,-y,z'
'-x,y,z'
'x,-y,z'
'x,y+1/2,z+1/2'
'-x,-y+1/2,z+1/2'
'-x,y+1/2,z+1/2'
'x,-y+1/2,z+1/2'
loop_
_atom_site_label
_atom_site_fract_x
_atom_site_fract_y
_atom_site_fract_z
Hf1 0.000 0.000 0.000
Hf2 0.000 0.242 0.753
Hf3 0.500 0.000 0.828
Hf4 0.500 0.245 0.075
Mg1 0.500 0.000 0.324
Cd1 0.000 0.000 0.499
# volume = 22.05 Å³ per atom
# electronic total energy = -123.148 eV per cell
# crystal system = orthorhombic

***

(4)
# ErAsSe (PBE, relaxed)
data_ErAsSe
_symmetry_space_group_name_H-M 'I 4/m m m'
_symmetry_Int_Tables_number 139
_symmetry_space_group_name_Hall '-I 4 2'
_cell_length_a 3.885
_cell_length_b 3.885
_cell_length_c 17.534
_cell_angle_alpha 90.00
_cell_angle_beta 90.00
_cell_angle_gamma 90.00
loop_
_atom_site_label
_atom_site_fract_x
_atom_site_fract_y
_atom_site_fract_z
Er1 0.000 0.000 0.140
As1 0.000 0.500 0.000
Se1 0.000 0.000 0.312
# volume = 22.05 Å³ per atom
# ΔE_f (raw) = -1385 meV per atom
# electronic total energy = -67.402 eV per cell
# crystal system = tetragonal

***

(5)
# TbTm2Sb (PBE, relaxed)
data_TbTm2Sb
_symmetry_space_group_name_H-M 'P 4/m m m'
_symmetry_Int_Tables_number 123
_symmetry_space_group_name_Hall '-P 4 2'
_cell_length_a 4.754
_cell_length_b 4.754
_cell_length_c 4.733
_cell_angle_alpha 90.00
_cell_angle_beta 90.00
_cell_angle_gamma 90.00
loop_
_atom_site_label
_atom_site_fract_x
_atom_site_fract_y
_atom_site_fract_z
Tb1 0.000 0.000 0.000
Tm1 0.000 0.500 0.500
Sb1 0.500 0.500 0.000
# volume = 26.74 Å³ per atom
# offset from the most stable computed form = 88.1 meV/atom
# ΔE_f (raw) = -452 meV per atom
# electronic total energy = -19.505 eV per cell
# crystal system = tetragonal

***

(6)
# Al2GePd (PBE, relaxed)
data_Al2GePd
_symmetry_space_group_name_H-M 'R 3 m'
_symmetry_Int_Tables_number 160
_symmetry_space_group_name_Hall 'R 3 -2"'
_cell_length_a 4.1904
_cell_length_b 4.1904
_cell_length_c 14.1354
_cell_angle_alpha 90.00
_cell_angle_beta 90.00
_cell_angle_gamma 120.00
loop_
_atom_site_label
_atom_site_fract_x
_atom_site_fract_y
_atom_site_fract_z
Al1 0.0000 0.0000 0.0000
Al2 0.0000 0.0000 0.2033
Ge1 0.0000 0.0000 0.7815
Pd1 0.0000 0.0000 0.6002
# volume = 17.91 Å³ per atom
# electronic total energy = -55.335 eV per cell
# crystal system = trigonal

***

(7)
# LuRuC (PBE, relaxed)
data_LuRuC
_symmetry_space_group_name_H-M 'P 3 m 1'
_symmetry_Int_Tables_number 156
_cell_length_a 3.3109
_cell_length_b 3.3109
_cell_length_c 4.6993
_cell_angle_alpha 90.00
_cell_angle_beta 90.00
_cell_angle_gamma 120.00
loop_
_symmetry_equiv_pos_as_xyz
'x,y,z'
'-y,x-y,z'
'-x+y,-x,z'
'-y,-x,z'
'-x+y,y,z'
'x,x-y,z'
loop_
_atom_site_label
_atom_site_fract_x
_atom_site_fract_y
_atom_site_fract_z
Lu1 0.0000 0.0000 0.0000
Ru1 0.3333 0.6667 0.5197
C1 0.6667 0.3333 0.6753
# volume = 14.87 Å³ per atom
# electronic total energy = -23.753 eV per cell
# crystal system = trigonal

***

(8)
# TlReAs (PBE, relaxed)
data_TlReAs
_symmetry_space_group_name_H-M 'F -4 3 m'
_symmetry_Int_Tables_number 216
_symmetry_space_group_name_Hall 'F -4 2 3'
_cell_length_a 6.338
_cell_length_b 6.338
_cell_length_c 6.338
_cell_angle_alpha 90.00
_cell_angle_beta 90.00
_cell_angle_gamma 90.00
loop_
_atom_site_label
_atom_site_fract_x
_atom_site_fract_y
_atom_site_fract_z
Tl1 0.000 0.000 0.000
Re1 0.250 0.250 0.750
As1 0.000 0.000 0.500
# volume = 21.21 Å³ per atom
# offset from the most stable computed form = 526.3 meV/atom
# electronic total energy = -66.830 eV per cell
# crystal system = cubic

***

Q: Look up the volume of the second one.
A: 11.65 Å³ per atom

***

Q: Which formula does entry 3 have?
A: Hf6MgCd

***

Q: Number 2 is which compound?
A: Tb3ErH8